DFT (PBE with a Hubbard U) results for a relaxed structure of CsCuNiF2.

* electronic total energy: -15.1 eV/cell
* symmetry: P4/mmm, No. 123
* DOS(E_F): 1.7 states/eV per cell
* total moment: 1.1 μB/cell

Cell lengths 4.440, 4.440, 4.698 Å; angles 90.00, 90.00, 90.00 degrees
Atoms (fractional coordinates):
1 Cs 0.000 0.000 0.000
2 Cu 0.500 0.500 0.500
3 Ni 0.500 0.500 0.000
4 F 0.000 0.500 0.500
5 F 0.500 0.000 0.500